Here is a geometry-optimized Ta2BeBr structure from Alexandria via LeMat-Bulk. Energies are from GGA-PBE.

Geometry as POSCAR:
```
Ta2BeBr
1.0
3.1534 0.0000 0.0000
0.0000 4.4234 0.0000
0.0000 0.0000 4.8589
Ta Be Br
2 1 1
direct
0.0000 0.0000 0.0000
0.5000 0.0000 0.5000
0.0000 0.5000 0.5000
0.5000 0.5000 0.0000
```

Results
For the total energy, the calculation gives -26.2 eV per formula unit. The calculated volume comes out at 67.8 Å³ per cell. For the spin magnetization, the calculation gives 0.00 μB/f.u. The value obtained for the density of states at the Fermi level is 3.12 states/eV/f.u.